# ReGeNO2, relaxed, DFT PBE
# E_form (uncorrected) = 2.45 eV/f.u.
# D(E_F) = 0.429 states/eV per atom
# Raw total energy = -6.57 eV per atom
data_ReGeNO2
_chemical_formula_sum 'Re1 Ge1 N1 O2'
_symmetry_space_group_name_H-M 'P 4/m m m'
_symmetry_Int_Tables_number 123
_symmetry_space_group_name_Hall '-P 4 2'
_cell_length_a 3.639
_cell_length_b 3.639
_cell_length_c 4.094
_cell_angle_alpha 90.00
_cell_angle_beta 90.00
_cell_angle_gamma 90.00
loop_
_atom_site_label
_atom_site_type_symbol
_atom_site_fract_x
_atom_site_fract_y
_atom_site_fract_z
_atom_site_occupancy
Re1 Re 0.000 0.000 0.000 1
Ge1 Ge 0.500 0.500 0.500 1
N1 N 0.500 0.500 0.000 1
O1 O 0.000 0.500 0.500 1